This record from the Alexandria database describes a relaxed CrGaO2 crystal. The functional is PBE+U.

DOS(E_F): 0.45 states/eV/f.u.
total magnetic moment: 1.050 μB per atom
E_tot: -25.9 eV per cell

abc: 6.286 6.286 6.286
angles: 27.71 27.71 27.71
Sites, in units of the cell vectors:
Ga: 0.500 0.500 0.500
Cr: 0.000 0.000 0.000
O: 0.111 0.111 0.111
O: 0.889 0.889 0.889